Compound: SnPbI3
Source: Alexandria
Functional: PBE-GGA
Structure: relaxed

* mass density: 4.8 g cm⁻³
* uncorrected energy: -12.4 eV/cell
* symmetry: Pm-3m (221)
* ΔE_f (raw): -12.6 meV/atom

Unit cell a=6.235 b=6.235 c=6.235 alpha=90.00 beta=90.00 gamma=90.00
Each line ends with the local moment (μB).
Positions (direct):
Pb 0.000 0.000 0.000  0.00
I 0.500 0.000 0.000  -0.01
I 0.000 0.500 0.000  0.00
I 0.000 0.000 0.500  -0.01
Sn 0.500 0.500 0.500  0.43

***

Compound: SnPb2I6
Source: Alexandria
Functional: PBE-GGA
Structure: relaxed

* mass density: 5.1 g cm⁻³
* distance to the lowest polymorph of the same formula: 0 meV per atom
* uncorrected energy: -26.2 eV/cell
* symmetry: C2/m (12)
* ΔE_f (raw): -603.3 meV/atom

Unit cell a=4.625 b=8.869 c=10.984 alpha=104.59 beta=90.00 gamma=105.11
Positions (direct):
I 0.028 0.055 0.802
I 0.695 0.390 0.139
I 0.635 0.270 0.525
I 0.365 0.730 0.475
I 0.972 0.945 0.198
I 0.305 0.610 0.861
Sn 0.000 0.000 0.500
Pb 0.666 0.332 0.832
Pb 0.334 0.668 0.168

***

Compound: SnPb2I
Source: Alexandria
Functional: PBE-GGA
Structure: relaxed

* mass density: 8.6 g cm⁻³
* distance to the lowest polymorph of the same formula: 147 meV per atom
* uncorrected energy: -12.8 eV/cell
* symmetry: Fm-3m (225)
* ΔE_f (raw): 47.0 meV/atom

Unit cell a=5.657 b=5.657 c=5.657 alpha=60.00 beta=60.00 gamma=60.00
Positions (direct):
Sn 0.000 0.000 0.000
I 0.500 0.500 0.500
Pb 0.250 0.250 0.250
Pb 0.750 0.750 0.750

***

Compound: SnPb2I
Source: Alexandria
Functional: PBE-GGA
Structure: relaxed

* mass density: 7.5 g cm⁻³
* distance to the lowest polymorph of the same formula: 25 meV per atom
* uncorrected energy: -13.3 eV/cell
* symmetry: R3m (160)
* ΔE_f (raw): -74.9 meV/atom

Unit cell a=4.478 b=4.478 c=8.788 alpha=75.24 beta=75.24 gamma=60.00
Positions (direct):
I 0.495 0.495 0.515
Pb 0.267 0.267 0.199
Pb 0.071 0.071 0.788
Sn 0.667 0.667 0.998

***

Compound: SnPb2I6
Source: Alexandria
Functional: PBE-GGA
Structure: relaxed

* mass density: 5.1 g cm⁻³
* distance to the lowest polymorph of the same formula: 43 meV per atom
* uncorrected energy: -51.5 eV/cell
* symmetry: P4_2/mnm (136)
* ΔE_f (raw): -560.8 meV/atom

Unit cell a=7.661 b=7.661 c=14.380 alpha=90.00 beta=90.00 gamma=90.00
Positions (direct):
I 0.699 0.699 0.664
I 0.301 0.301 0.664
I 0.199 0.801 0.164
I 0.704 0.704 0.000
I 0.301 0.301 0.336
I 0.199 0.801 0.836
I 0.801 0.199 0.164
I 0.296 0.296 0.000
I 0.204 0.796 0.500
I 0.796 0.204 0.500
I 0.801 0.199 0.836
I 0.699 0.699 0.336
Pb 0.000 0.000 0.666
Pb 0.500 0.500 0.166
Pb 0.500 0.500 0.834
Pb 0.000 0.000 0.334
Sn 0.500 0.500 0.500
Sn 0.000 0.000 0.000

***

Compound: SrSnPbI2
Source: Alexandria
Functional: PBE-GGA
Structure: relaxed

* mass density: 5.0 g cm⁻³
* uncorrected energy: -13.5 eV/cell
* symmetry: P4/mmm (123)
* ΔE_f (raw): -209.6 meV/atom

Unit cell a=6.047 b=6.102 c=6.047 alpha=90.00 beta=90.00 gamma=90.00
Each line ends with the local moment (μB).
Positions (direct):
I 0.500 0.000 0.000  0.03
I 0.000 0.000 0.500  0.03
Sn 0.000 0.000 0.000  -0.02
Sr 0.500 0.500 0.500  0.03
Pb 0.000 0.500 0.000  0.23

***

Compound: SrSnPbI6
Source: Alexandria
Functional: PBE-GGA
Structure: relaxed

* mass density: 4.5 g cm⁻³
* uncorrected energy: -53.9 eV/cell
* symmetry: P4_2nm (102)
* ΔE_f (raw): -916.0 meV/atom

Unit cell a=7.670 b=7.670 c=14.599 alpha=90.00 beta=90.00 gamma=90.00
Positions (direct):
Sr 0.000 0.000 0.333
Sr 0.500 0.500 0.833
I 0.802 0.198 0.505
I 0.297 0.297 0.664
I 0.805 0.195 0.831
I 0.305 0.305 0.331
I 0.195 0.805 0.831
I 0.703 0.703 0.664
I 0.695 0.695 0.331
I 0.797 0.203 0.164
I 0.203 0.797 0.164
I 0.198 0.802 0.505
I 0.698 0.698 0.005
I 0.302 0.302 0.005
Sn 0.000 0.000 0.666
Sn 0.500 0.500 0.166
Pb 0.500 0.500 0.501
Pb 0.000 0.000 0.001

***

Compound: SrSnPb2I8
Source: Alexandria
Functional: PBE-GGA
Structure: relaxed

* mass density: 4.9 g cm⁻³
* uncorrected energy: -35.6 eV/cell
* symmetry: P2/m (10)
* ΔE_f (raw): -842.7 meV/atom

Unit cell a=7.801 b=7.398 c=9.624 alpha=90.00 beta=90.00 gamma=89.81
Positions (direct):
I 0.652 0.743 0.500
I 0.348 0.257 0.500
I 0.845 0.245 0.757
I 0.155 0.755 0.243
I 0.155 0.755 0.757
I 0.845 0.245 0.243
I 0.660 0.751 0.000
I 0.340 0.249 0.000
Sn 0.000 0.000 0.000
Sr 0.000 0.000 0.500
Pb 0.500 0.500 0.246
Pb 0.500 0.500 0.754